[1]
# PBE ZnHg, relaxed
# symmetry = P6_3/mmc, No. 194
# theoretical density = 9.676 g/cm3
# electronic total energy = -0.617 eV per atom
# total magnetization = 0.000 μB per atom
# energy of formation = 0.343 eV/f.u.
# V = 22.825 Å³/atom
data_ZnHg
_chemical_formula_sum 'Zn4 Hg4'
_space_group_name_H-M_alt 'P 1'
_space_group_IT_number 1
_cell_length_a 5.2295
_cell_length_b 5.2295
_cell_length_c 7.7097
_cell_angle_alpha 90.00
_cell_angle_beta 90.00
_cell_angle_gamma 120.00
loop_
_space_group_symop_operation_xyz
'x,y,z'
loop_
_atom_site_label
_atom_site_fract_x
_atom_site_fract_y
_atom_site_fract_z
_atom_site_occupancy
Zn1 0.3333 0.6667 0.9108 1
Zn2 0.6667 0.3333 0.4108 1
Zn3 0.6667 0.3333 0.0892 1
Zn4 0.3333 0.6667 0.5892 1
Hg1 0.0000 0.0000 0.7500 1
Hg2 0.0000 0.0000 0.2500 1
Hg3 0.3333 0.6667 0.2500 1
Hg4 0.6667 0.3333 0.7500 1

[2]
# PBE ZnHg, relaxed
# symmetry = R-3m, No. 166
# theoretical density = 10.613 g/cm3
# electronic total energy = -0.675 eV per atom
# total magnetization = 0.000 μB per atom
# energy of formation = 0.225 eV/f.u.
# V = 20.810 Å³/atom
data_ZnHg
_chemical_formula_sum 'Zn2 Hg2'
_space_group_name_H-M_alt 'P 1'
_space_group_IT_number 1
_cell_length_a 3.3323
_cell_length_b 8.8672
_cell_length_c 3.3323
_cell_angle_alpha 100.83
_cell_angle_beta 60.00
_cell_angle_gamma 100.83
loop_
_space_group_symop_operation_xyz
'x,y,z'
loop_
_atom_site_label
_atom_site_fract_x
_atom_site_fract_y
_atom_site_fract_z
_atom_site_occupancy
Hg1 0.0075 0.0224 0.0075 1
Hg2 0.2425 0.7276 0.2425 1
Zn1 0.4933 0.4798 0.4933 1
Zn2 0.7567 0.2702 0.7567 1

[3]
# PBE Zn4Hg3, relaxed
# symmetry = I4/mmm, No. 139
# energy above the most stable polymorph in this dataset = 0.00 eV/f.u.
# theoretical density = 10.280 g/cm3
# electronic total energy = -0.753 eV per atom
# total magnetization = 0.000 μB per atom
# energy of formation = 0.730 eV/f.u.
# V = 19.924 Å³/atom
data_Zn4Hg3
_chemical_formula_sum 'Zn4 Hg3'
_space_group_name_H-M_alt 'P 1'
_space_group_IT_number 1
_cell_length_a 9.8527
_cell_length_b 9.8527
_cell_length_c 9.8527
_cell_angle_alpha 157.54
_cell_angle_beta 157.54
_cell_angle_gamma 31.97
loop_
_space_group_symop_operation_xyz
'x,y,z'
loop_
_atom_site_label
_atom_site_fract_x
_atom_site_fract_y
_atom_site_fract_z
_atom_site_occupancy
Zn1 0.8575 0.8575 0.0000 1
Zn2 0.5676 0.5676 0.0000 1
Zn3 0.4324 0.4324 0.0000 1
Zn4 0.1425 0.1425 0.0000 1
Hg1 0.0000 0.0000 0.0000 1
Hg2 0.7079 0.7079 0.0000 1
Hg3 0.2921 0.2921 0.0000 1

[4]
# PBE Zn3Hg, relaxed
# symmetry = P2/m, No. 10
# theoretical density = 9.054 g/cm3
# electronic total energy = -0.939 eV per atom
# total magnetization = 0.000 μB per atom
# energy of formation = 0.369 eV/f.u.
# V = 18.195 Å³/atom
data_Zn3Hg
_chemical_formula_sum 'Zn3 Hg1'
_space_group_name_H-M_alt 'P 1'
_space_group_IT_number 1
_cell_length_a 3.1250
_cell_length_b 4.8854
_cell_length_c 4.8131
_cell_angle_alpha 90.00
_cell_angle_beta 97.92
_cell_angle_gamma 90.00
loop_
_space_group_symop_operation_xyz
'x,y,z'
loop_
_atom_site_label
_atom_site_fract_x
_atom_site_fract_y
_atom_site_fract_z
_atom_site_occupancy
Zn1 0.7872 0.5000 0.7290 1
Zn2 0.5000 0.0000 0.5000 1
Zn3 0.2128 0.5000 0.2710 1
Hg1 0.0000 0.0000 0.0000 1